# 1
Computed, not measured: a relaxed structure of Tb12MgFe6 at the PBE level of DFT.

a b c (Å): 9.773 9.773 9.773
angles (deg): 90.00 90.00 90.00
Space group Im-3 (No. 204)
Unique sites:
Tb 0.000 0.301 0.197 x24
Mg 0.000 0.000 0.000 x2
Fe 0.000 0.109 0.500 x12

Computed properties:
**ρ**: 8.1 g/cm3
**Calculated formation energy**: -0.007 eV/atom
**Calculated volume**: 24.6 A^3/atom
**DOS at the Fermi energy**: 19.5 states/eV/f.u.

***

# 2
Computed, not measured: a relaxed structure of BaSiBr4 at the PBE level of DFT.

a b c (Å): 9.180 9.180 9.180
angles (deg): 90.00 90.00 90.00
Space group F-43m (No. 216)
Unique sites:
Ba 0.000 0.000 0.000 x4
Si 0.250 0.250 0.250 x4
Br 0.125 0.125 0.625 x16

Computed properties:
**ρ**: 4.2 g/cm3
**Formation energy from raw total energies**: -0.07 eV/atom
**Calculated volume**: 32.2 A^3/atom
**DOS at the Fermi energy**: 7.4 states/eV/f.u.

***

# 3
Computed, not measured: a relaxed structure of Sc3Co8Sn at the PBE level of DFT.

a b c (Å): 4.8499 4.8499 8.0367
angles (deg): 90.00 90.00 120.00
Space group P3m1 (No. 156)
Unique sites:
Sc 0.0000 0.0000 0.0000 x1
Sc 0.0000 0.0000 0.3728 x1
Sc 0.3333 0.6667 0.8621 x1
Co 0.0058 0.5029 0.1834 x3
Co 0.3292 0.1646 0.6865 x3
Co 0.6667 0.3333 0.4366 x1
Co 0.6667 0.3333 0.9415 x1
Sn 0.3333 0.6667 0.4945 x1

Computed properties:
**ρ**: 7.4 g/cm3
**Calculated formation energy**: -0.294 eV/atom
**Calculated volume**: 13.6 A^3/atom
**DOS at the Fermi energy**: 15.7 states/eV/f.u.

***

# 4
Computed, not measured: a relaxed structure of NaZr2Se2 at the PBE level of DFT.

a b c (Å): 7.629 7.629 3.515
angles (deg): 90.00 90.00 90.00
Space group P4/mbm (No. 127)
Unique sites:
Na 0.000 0.000 0.000 x2
Zr 0.146 0.354 0.500 x4
Se 0.146 0.646 0.000 x4

Computed properties:
**ρ**: 5.9 g/cm3
**Formation energy from raw total energies**: -0.77 eV/atom
**Calculated volume**: 20.5 A^3/atom
**DOS at the Fermi energy**: 4.5 states/eV/f.u.
**Excess energy over the best structure of this formula in the dataset**: 70 meV per atom

***

# 5
Computed, not measured: a relaxed structure of Be2BCl at the PBE level of DFT.

a b c (Å): 5.590 5.590 5.590
angles (deg): 90.00 90.00 90.00
Space group Fm-3m (No. 225)
Unique sites:
Be 0.250 0.250 0.250 x8
B 0.000 0.000 0.000 x4
Cl 0.000 0.000 0.500 x4

Computed properties:
**ρ**: 2.4 g/cm3
**Formation energy from raw total energies**: 1.41 eV/atom
**Calculated volume**: 10.9 A^3/atom
**DOS at the Fermi energy**: 3.1 states/eV/f.u.
**Excess energy over the best structure of this formula in the dataset**: 958 meV per atom

***

# 6
Computed, not measured: a relaxed structure of Eu2PuIn at the PBE level of DFT.

a b c (Å): 7.916 7.916 7.916
angles (deg): 90.00 90.00 90.00
Space group Fm-3m (No. 225)
Unique sites:
Eu 0.250 0.250 0.250 x8
Pu 0.000 0.000 0.000 x4
In 0.000 0.000 0.500 x4

Computed properties:
**ρ**: 8.9 g/cm3
**Calculated formation energy**: -0.028 eV/atom
**Calculated volume**: 31.0 A^3/atom
**DOS at the Fermi energy**: 13.7 states/eV/f.u.
**Excess energy over the best structure of this formula in the dataset**: 0 meV per atom

***

# 7
Computed, not measured: a relaxed structure of Tl2InCu2 at the PBE level of DFT.

a b c (Å): 7.172 7.172 4.198
angles (deg): 90.00 90.00 90.00
Space group P4/mbm (No. 127)
Unique sites:
Tl 0.170 0.330 0.000 x4
In 0.000 0.000 0.500 x2
Cu 0.125 0.625 0.500 x4

Computed properties:
**ρ**: 10.0 g/cm3
**Calculated formation energy**: 0.197 eV/atom
**Calculated volume**: 21.6 A^3/atom
**DOS at the Fermi energy**: 2.0 states/eV/f.u.
**Excess energy over the best structure of this formula in the dataset**: 0 meV per atom

***

# 8
Computed, not measured: a relaxed structure of Li8SbP2 at the PBE level of DFT.

a b c (Å): 14.349 4.151 6.490
angles (deg): 90.00 116.89 90.00
Space group C2/m (No. 12)
Unique sites:
Li 0.000 0.000 0.195 x4
Li 0.165 0.500 0.385 x4
Li 0.165 0.500 0.946 x4
Li 0.169 0.000 0.668 x4
Sb 0.000 0.500 0.500 x2
P 0.182 0.000 0.182 x4

Computed properties:
**ρ**: 2.3 g/cm3
**Formation energy from raw total energies**: -0.61 eV/atom
**Calculated volume**: 15.7 A^3/atom
**DOS at the Fermi energy**: 3.6 states/eV/f.u.
**Excess energy over the best structure of this formula in the dataset**: 0 meV per atom

***

# 9
Computed, not measured: a relaxed structure of Hg2AsSe at the PBE level of DFT.

a b c (Å): 3.428 3.428 9.634
angles (deg): 90.00 90.00 90.00
Space group P4mm (No. 99)
Unique sites:
Hg 0.000 0.000 0.000 x1
Hg 0.500 0.500 0.272 x1
As 0.500 0.500 0.711 x1
Se 0.000 0.000 0.600 x1

Computed properties:
**ρ**: 8.1 g/cm3
**Formation energy from raw total energies**: 0.10 eV/atom
**Calculated volume**: 28.3 A^3/atom
**DOS at the Fermi energy**: 1.0 states/eV/f.u.

***

# 10
Computed, not measured: a relaxed structure of TbErTlPt at the PBE level of DFT.

a b c (Å): 7.269 7.269 7.269
angles (deg): 90.00 90.00 90.00
Space group F-43m (No. 216)
Unique sites:
Tb 0.000 0.000 0.000 x4
Er 0.000 0.000 0.500 x4
Tl 0.250 0.250 0.750 x4
Pt 0.250 0.250 0.250 x4

Computed properties:
**ρ**: 12.6 g/cm3
**Calculated formation energy**: -0.698 eV/atom
**Calculated volume**: 24.0 A^3/atom
**DOS at the Fermi energy**: 3.6 states/eV/f.u.

***

# 11
Computed, not measured: a relaxed structure of Fe2TeCl at the PBE level of DFT.

a b c (Å): 3.300 3.300 7.488
angles (deg): 90.00 90.00 90.00
Space group P4mm (No. 99)
Unique sites:
Fe 0.000 0.000 0.000 x1
Fe 0.500 0.500 0.136 x1
Te 0.000 0.000 0.345 x1
Cl 0.500 0.500 0.816 x1

Computed properties:
**ρ**: 5.6 g/cm3
**Formation energy from raw total energies**: -0.02 eV/atom
**Calculated volume**: 20.4 A^3/atom
**DOS at the Fermi energy**: 2.5 states/eV/f.u.
**Excess energy over the best structure of this formula in the dataset**: 138 meV per atom

***

# 12
Computed, not measured: a relaxed structure of Tl2BTeI at the PBE level of DFT.

a b c (Å): 5.287 5.287 4.893
angles (deg): 90.00 90.00 90.00
Space group P4/mmm (No. 123)
Unique sites:
Tl 0.000 0.500 0.000 x2
B 0.000 0.000 0.000 x1
Te 0.500 0.500 0.500 x1
I 0.000 0.000 0.500 x1

Computed properties:
**ρ**: 8.2 g/cm3
**Formation energy from raw total energies**: 0.52 eV/atom
**Calculated volume**: 27.4 A^3/atom
**DOS at the Fermi energy**: 2.9 states/eV/f.u.
**Excess energy over the best structure of this formula in the dataset**: 0 meV per atom

***

# 13
Computed, not measured: a relaxed structure of NdCu3O4 at the PBE level of DFT.

a b c (Å): 5.734 5.734 5.734
angles (deg): 90.00 90.00 90.00
Space group Pm-3n (No. 223)
Unique sites:
Nd 0.000 0.000 0.000 x2
Cu 0.000 0.250 0.500 x6
O 0.250 0.250 0.250 x8

Computed properties:
**ρ**: 7.0 g/cm3
**Formation energy from raw total energies**: -1.40 eV/atom
**Calculated volume**: 11.8 A^3/atom
**DOS at the Fermi energy**: 3.8 states/eV/f.u.

***

# 14
Computed, not measured: a relaxed structure of Ag2SnP at the PBE level of DFT.

a b c (Å): 6.833 6.833 6.833
angles (deg): 90.00 90.00 90.00
Space group Fm-3m (No. 225)
Unique sites:
Ag 0.250 0.250 0.250 x8
Sn 0.000 0.000 0.000 x4
P 0.000 0.000 0.500 x4

Computed properties:
**ρ**: 7.6 g/cm3
**Calculated formation energy**: 0.280 eV/atom
**Calculated volume**: 19.9 A^3/atom
**DOS at the Fermi energy**: 1.0 states/eV/f.u.
**Excess energy over the best structure of this formula in the dataset**: 51 meV per atom

***

# 15
Computed, not measured: a relaxed structure of Ca17Ac2 at the PBE level of DFT.

a b c (Å): 12.4278 12.4278 19.1532
angles (deg): 90.00 90.00 120.00
Space group R-3m (No. 166, hexagonal axes)
Unique sites:
Ca 0.0000 0.0000 0.0952 x6
Ca 0.0000 0.3088 0.0000 x18
Ca 0.0000 0.5000 0.5000 x9
Ca 0.0039 0.5020 0.1515 x18
Ac 0.0000 0.0000 0.3129 x6

Computed properties:
**ρ**: 2.2 g/cm3
**Calculated formation energy**: 0.144 eV/atom
**Calculated volume**: 44.9 A^3/atom
**DOS at the Fermi energy**: 29.3 states/eV/f.u.

***

# 16
Computed, not measured: a relaxed structure of NbHg3Se at the PBE level of DFT.

a b c (Å): 5.429 5.429 5.429
angles (deg): 90.00 90.00 90.00
Space group Pm-3m (No. 221)
Unique sites:
Nb 0.000 0.000 0.000 x1
Hg 0.000 0.000 0.500 x3
Se 0.500 0.500 0.500 x1

Computed properties:
**ρ**: 8.0 g/cm3
**Formation energy from raw total energies**: 0.92 eV/atom
**Calculated volume**: 32.0 A^3/atom
**DOS at the Fermi energy**: 4.3 states/eV/f.u.
**Excess energy over the best structure of this formula in the dataset**: 0 meV per atom

***

# 17
Computed, not measured: a relaxed structure of Sc3TcC3 at the PBE level of DFT.

a b c (Å): 8.414 9.681 4.747
angles (deg): 90.00 90.00 90.00
Space group Cmcm (No. 63)
Unique sites:
Sc 0.000 0.109 0.250 x4
Sc 0.224 0.380 0.250 x8
Tc 0.000 0.320 0.750 x4
C 0.000 0.123 0.750 x4
C 0.221 0.378 0.750 x8

Computed properties:
**ρ**: 4.6 g/cm3
**Calculated formation energy**: -0.442 eV/atom
**Calculated volume**: 13.8 A^3/atom
**DOS at the Fermi energy**: 3.6 states/eV/f.u.

***

# 18
Computed, not measured: a relaxed structure of LaSm3Er2S6 at the PBE level of DFT.

a b c (Å): 6.898 11.982 6.903
angles (deg): 90.00 109.59 90.00
Space group C2/m (No. 12)
Unique sites:
La 0.000 0.000 0.000 x2
Sm 0.000 0.161 0.500 x4
Sm 0.000 0.500 0.500 x2
Er 0.000 0.333 0.000 x4
S 0.233 0.500 0.240 x4
S 0.245 0.326 0.754 x8

Computed properties:
**ρ**: 6.9 g/cm3
**Formation energy from raw total energies**: -2.02 eV/atom
**Calculated volume**: 22.4 A^3/atom
**DOS at the Fermi energy**: 5.1 states/eV/f.u.

***

# 19
Computed, not measured: a relaxed structure of Na3ErTi2Te6 at the PBE level of DFT.

a b c (Å): 7.192 12.547 7.982
angles (deg): 90.00 107.81 90.00
Space group C2/m (No. 12)
Unique sites:
Na 0.000 0.000 0.000 x2
Na 0.000 0.344 0.000 x4
Er 0.000 0.500 0.500 x2
Ti 0.000 0.174 0.500 x4
Te 0.216 0.000 0.712 x4
Te 0.249 0.175 0.278 x8

Computed properties:
**ρ**: 5.3 g/cm3
**Formation energy from raw total energies**: -0.93 eV/atom
**Calculated volume**: 28.6 A^3/atom
**DOS at the Fermi energy**: 6.8 states/eV/f.u.

***

# 20
Computed, not measured: a relaxed structure of NbRhO3 at the PBE level of DFT.

a b c (Å): 3.977 3.977 3.977
angles (deg): 90.00 90.00 90.00
Space group Pm-3m (No. 221)
Unique sites:
Nb 0.000 0.000 0.000 x1
Rh 0.500 0.500 0.500 x1
O 0.000 0.000 0.500 x3

Computed properties:
**ρ**: 6.4 g/cm3
**Formation energy from raw total energies**: -1.21 eV/atom
**Calculated volume**: 12.6 A^3/atom
**DOS at the Fermi energy**: 3.9 states/eV/f.u.

***

# 21
Computed, not measured: a relaxed structure of La2HoHg4 at the PBE level of DFT.

a b c (Å): 5.1192 5.1192 28.5318
angles (deg): 90.00 90.00 120.00
Space group R-3m (No. 166, hexagonal axes)
Unique sites:
La 0.0000 0.0000 0.2451 x6
Ho 0.0000 0.0000 0.0000 x3
Hg 0.0000 0.0000 0.1322 x6
Hg 0.0000 0.0000 0.3666 x6

Computed properties:
**ρ**: 9.6 g/cm3
**Calculated formation energy**: -0.369 eV/atom
**Calculated volume**: 30.8 A^3/atom
**DOS at the Fermi energy**: 6.4 states/eV/f.u.
**Excess energy over the best structure of this formula in the dataset**: 0 meV per atom

***

# 22
Computed, not measured: a relaxed structure of ScCo2Ag2 at the PBE level of DFT.

a b c (Å): 6.493 6.493 3.805
angles (deg): 90.00 90.00 90.00
Space group P4/mbm (No. 127)
Unique sites:
Sc 0.000 0.000 0.000 x2
Co 0.123 0.377 0.000 x4
Ag 0.171 0.671 0.500 x4

Computed properties:
**ρ**: 7.8 g/cm3
**Calculated formation energy**: 0.210 eV/atom
**Calculated volume**: 16.0 A^3/atom
**DOS at the Fermi energy**: 5.7 states/eV/f.u.
**Excess energy over the best structure of this formula in the dataset**: 0 meV per atom

***

# 23
Computed, not measured: a relaxed structure of CoTe2RuN at the PBE level of DFT.

a b c (Å): 5.121 5.121 3.327
angles (deg): 90.00 90.00 90.00
Space group P4/mmm (No. 123)
Unique sites:
Co 0.000 0.000 0.000 x1
Te 0.000 0.500 0.000 x2
Ru 0.500 0.500 0.500 x1
N 0.000 0.000 0.500 x1

Computed properties:
**ρ**: 8.2 g/cm3
**Formation energy from raw total energies**: 0.55 eV/atom
**Calculated volume**: 17.4 A^3/atom
**DOS at the Fermi energy**: 5.1 states/eV/f.u.
**Excess energy over the best structure of this formula in the dataset**: 0 meV per atom

***

# 24
Computed, not measured: a relaxed structure of Tl2NiMo at the PBE level of DFT.

a b c (Å): 7.419 7.419 5.856
angles (deg): 90.00 90.00 90.00
Space group I-42d (No. 122)
Unique sites:
Tl 0.220 0.250 0.125 x8
Ni 0.000 0.000 0.000 x4
Mo 0.000 0.000 0.500 x4

Computed properties:
**ρ**: 11.6 g/cm3
**Calculated formation energy**: 0.887 eV/atom
**Calculated volume**: 20.1 A^3/atom
**DOS at the Fermi energy**: 1.6 states/eV/f.u.
**Excess energy over the best structure of this formula in the dataset**: 457 meV per atom